# 1
Ca2YCuO5 after structural relaxation, computed with PBE.

a b c (Å): 9.3041 9.3041 9.3041
angles (deg): 47.52 145.77 148.06
Fractional coordinates of all 18 atoms:
Ca1 0.0228 0.0961 0.1188
Ca2 0.0228 0.4039 0.4267
Ca3 0.9772 0.5961 0.5733
Ca4 0.9772 0.9039 0.8812
Y1 0.4418 0.7255 0.2162
Y2 0.5093 0.2255 0.7838
Cu1 0.5043 0.0043 0.5000
Cu2 0.5043 0.5043 0.0000
O1 0.0043 0.2650 0.7634
O2 0.0043 0.7410 0.2393
O3 0.0871 0.7727 0.8143
O4 0.4561 0.1384 0.5735
O5 0.4561 0.3826 0.8177
O6 0.5016 0.2410 0.2366
O7 0.5016 0.7650 0.7607
O8 0.5649 0.6384 0.1823
O9 0.5649 0.8826 0.4265
O10 0.9584 0.2727 0.1857

Computed properties:
Symmetry ... No. 46
DOS(E_F) ... 2.473 states/eV/f.u.
Uncorrected formation energy ... -2.312 eV/atom
Density ... 4.35 g/cm³



# 2
Ca2ZnCuO5 after structural relaxation, computed with PBE.

a b c (Å): 6.7436 6.7436 10.3089
angles (deg): 90.00 90.00 152.29
Fractional coordinates of all 18 atoms:
Ca1 0.0872 0.9128 0.5000
Ca2 0.1342 0.8658 0.1402
Ca3 0.8658 0.1342 0.6402
Ca4 0.9128 0.0872 0.0000
Zn1 0.4476 0.5524 0.2908
Zn2 0.5524 0.4476 0.7908
Cu1 0.2283 0.7717 0.8725
Cu2 0.7717 0.2283 0.3725
O1 0.0809 0.9191 0.8978
O2 0.2619 0.7381 0.5053
O3 0.2892 0.7108 0.2564
O4 0.3726 0.6274 0.8360
O5 0.4999 0.5001 0.1185
O6 0.5001 0.4999 0.6185
O7 0.6274 0.3726 0.3360
O8 0.7108 0.2892 0.7564
O9 0.7381 0.2619 0.0053
O10 0.9191 0.0809 0.3978

Computed properties:
Symmetry ... No. 36
DOS(E_F) ... 2.262 states/eV/f.u.
Uncorrected formation energy ... -1.668 eV/atom
Density ... 4.40 g/cm³



# 3
Ca2ZnCuO after structural relaxation, computed with PBE.

a b c (Å): 5.7107 5.7107 3.5664
angles (deg): 90.00 90.00 90.00
Fractional coordinates of all 5 atoms:
Ca1 0.0000 0.5000 0.0000
Ca2 0.5000 0.0000 0.0000
Zn1 0.0000 0.0000 0.5000
Cu1 0.5000 0.5000 0.0000
O1 0.5000 0.5000 0.5000

Computed properties:
Symmetry ... No. 123
DOS(E_F) ... 3.329 states/eV/f.u.
Uncorrected formation energy ... -0.324 eV/atom
Density ... 3.21 g/cm³



# 4
CaCuOs2 after structural relaxation, computed with PBE.

a b c (Å): 2.8369 3.6582 6.7099
angles (deg): 90.00 90.00 90.00
Fractional coordinates of all 4 atoms:
Ca1 0.0000 0.0000 0.0000
Cu1 0.5000 0.5000 0.2890
Os1 0.0000 0.0000 0.5056
Os2 0.5000 0.5000 0.6751

Computed properties:
Symmetry ... No. 25
DFT formation energy ... 0.3162 eV/atom
DOS(E_F) ... 2.985 states/eV/f.u.
Density ... 11.54 g/cm³



# 5
CaCuOs2 after structural relaxation, computed with PBE.

a b c (Å): 4.5552 4.5552 5.7972
angles (deg): 97.78 97.78 36.57
Fractional coordinates of all 4 atoms:
Ca1 0.0000 0.0000 0.0000
Cu1 0.2351 0.2351 0.7126
Os1 0.4978 0.4978 0.4876
Os2 0.7560 0.7560 0.3462

Computed properties:
Symmetry ... No. 8
DFT formation energy ... 0.4311 eV/atom
DOS(E_F) ... 3.124 states/eV/f.u.
Density ... 11.33 g/cm³



# 6
CaCu2Os after structural relaxation, computed with PBE.

a b c (Å): 5.1190 5.1190 4.8389
angles (deg): 107.96 107.96 31.32
Fractional coordinates of all 4 atoms:
Ca1 0.0000 0.0000 0.0000
Cu1 0.4778 0.4778 0.5003
Cu2 0.7643 0.7643 0.1890
Os1 0.2211 0.2211 0.6267

Computed properties:
Symmetry ... No. 8
DFT formation energy ... 0.3787 eV/atom
DOS(E_F) ... 2.123 states/eV/f.u.
Density ... 9.51 g/cm³